(1)
This record from Alexandria via LeMat-Bulk describes a PBEsol-optimized structure of HgAs2Cl. The functional is SCAN.

The structure belongs to space group I-42d (No. 122); the cell edges are 4.024, 4.024 and 21.768 Å and the angles 90.00°, 90.00° and 90.00°. The distinct sites, in fractional coordinates, are Hg at (0.000, 0.000, 0.000), As at (0.187, 0.250, 0.125) and Cl at (0.000, 0.000, 0.500).

The relative energy among the computed polymorphs is 0 meV/atom. Its formation energy from raw total energies is 69 meV per atom. For the raw total energy, the calculation gives -2.136 Ry/atom.

(2)
This record from Alexandria via LeMat-Bulk describes a PBEsol-optimized structure of Hg2AsCl2. The functional is SCAN.

The structure belongs to space group C2/m (No. 12); the cell edges are 13.971, 8.274 and 8.861 Å and the angles 90.00°, 97.78° and 90.00°. The distinct sites, in fractional coordinates, are Hg at (0.023, 0.246, 0.258), Hg at (0.219, 0.000, 0.981), Hg at (0.224, 0.500, 0.551), As at (0.041, 0.000, 0.888), As at (0.057, 0.500, 0.409), Cl at (0.108, 0.500, 0.978), Cl at (0.110, 0.000, 0.512) and Cl at (0.229, 0.224, 0.235).

Its formation energy from raw total energies is -488 meV per atom. For the raw total energy, the calculation gives -2.571 Ry/atom.

(3)
This record from Alexandria via LeMat-Bulk describes a PBEsol-optimized structure of Hg2AsCl. The functional is SCAN.

The structure belongs to space group Cmm2 (No. 35); the cell edges are 3.120, 5.556 and 9.985 Å and the angles 90.00°, 90.00° and 90.00°. The distinct sites, in fractional coordinates, are Hg at (0.000, 0.000, 0.000), Hg at (0.000, 0.500, 0.272), As at (0.000, 0.000, 0.525) and Cl at (0.000, 0.500, 0.726).

The relative energy among the computed polymorphs is 358 meV/atom. Its formation energy from raw total energies is 129 meV per atom. For the raw total energy, the calculation gives -3.013 Ry/atom.